[1]
{
  "formula": "Li2PuHfTe4",
  "functional": "PBE",
  "state": "optimized geometry",
  "cell": [[-1.573, 1.879, -5.484], [-5.101, -3.149, 0.384], [0.554, 5.441, 4.995]],
  "species": ["Te", "Te", "Te", "Te", "Pu", "Hf", "Li", "Li"],
  "fractional_positions": [[0.757, 0.757, 0.515], [0.988, 0.488, 0.977], [0.243, 0.243, 0.485], [0.512, 0.012, 0.023], [0.500, 0.500, 0.000], [0.750, 0.250, 0.500], [0.000, 0.000, 0.000], [0.250, 0.750, 0.500]],
  "crystal_system": "tetragonal",
  "magmom_total_mub_per_cell": 5.9,
  "raw_formation_energy_ev_per_atom": -0.8721,
  "sg": "I-4m2, No. 119"
}

***

[2]
{
  "formula": "NdGaTe2",
  "functional": "PBE",
  "state": "optimized geometry",
  "cell": [[4.596, 0.000, 0.000], [2.298, 3.980, 0.000], [2.298, 1.327, 9.451]],
  "species": ["Te", "Te", "Ga", "Nd"],
  "fractional_positions": [[0.895, 0.895, 0.314], [0.105, 0.105, 0.686], [0.000, 0.000, 0.000], [0.500, 0.500, 0.500]],
  "crystal_system": "trigonal",
  "magmom_total_mub_per_cell": 0.0,
  "raw_formation_energy_ev_per_atom": -0.7009,
  "sg": "R-3m, No. 166"
}

***

[3]
{
  "formula": "AcNbSb2",
  "functional": "PBE",
  "state": "optimized geometry",
  "cell": [[-2.718, 2.434, 0.830], [-3.194, -4.087, 1.528], [1.901, 0.401, 5.047]],
  "species": ["Sb", "Sb", "Ac", "Nb"],
  "fractional_positions": [[0.000, 0.000, 0.500], [0.000, 0.500, 0.000], [0.500, 0.000, 0.000], [0.500, 0.500, 0.500]],
  "crystal_system": "tetragonal",
  "magmom_total_mub_per_cell": 1.3,
  "raw_formation_energy_ev_per_atom": -0.0756,
  "sg": "P4/mmm, No. 123",
  "polymorph_energy_ev_per_atom": 0.3137
}

***

[4]
{
  "formula": "RbTlSe2",
  "functional": "PBE",
  "state": "optimized geometry",
  "cell": [[7.955, 0.000, 0.000], [0.000, 4.270, 0.000], [0.000, 0.000, 18.867]],
  "species": ["Tl", "Tl", "Tl", "Tl", "Rb", "Rb", "Rb", "Rb", "Se", "Se", "Se", "Se", "Se", "Se", "Se", "Se"],
  "fractional_positions": [[0.651, 0.750, 0.694], [0.849, 0.250, 0.194], [0.349, 0.250, 0.306], [0.151, 0.750, 0.806], [0.290, 0.750, 0.110], [0.210, 0.250, 0.610], [0.790, 0.750, 0.390], [0.710, 0.250, 0.890], [0.906, 0.250, 0.733], [0.594, 0.750, 0.233], [0.430, 0.750, 0.482], [0.930, 0.750, 0.018], [0.094, 0.750, 0.267], [0.070, 0.250, 0.982], [0.570, 0.250, 0.518], [0.406, 0.250, 0.767]],
  "crystal_system": "orthorhombic",
  "magmom_total_mub_per_cell": 0.0,
  "raw_formation_energy_ev_per_atom": -0.4824,
  "sg": "Pnma, No. 62",
  "polymorph_energy_ev_per_atom": 0.1851
}

***

[5]
{
  "formula": "BeCdMo2",
  "functional": "PBE",
  "state": "optimized geometry",
  "cell": [[2.755, 0.002, 0.000], [-0.391, 2.727, 0.000], [0.000, 0.000, 7.954]],
  "species": ["Be", "Cd", "Mo", "Mo"],
  "fractional_positions": [[0.500, 0.500, 0.250], [0.500, 0.500, 0.750], [0.000, 0.000, 0.452], [0.000, 0.000, 0.048]],
  "crystal_system": "orthorhombic",
  "magmom_total_mub_per_cell": 0.0,
  "sg": "Cmmm, No. 65",
  "polymorph_energy_ev_per_atom": 0.0000,
  "delta_e_f_ev_per_atom": 0.258
}

***

[6]
{
  "formula": "Ca3SbP",
  "functional": "PBE",
  "state": "optimized geometry",
  "cell": [[-4.133, -16.063, 0.283], [-3.859, -5.925, -6.499], [5.826, 5.206, -5.585]],
  "species": ["Sb", "Sb", "Sb", "Sb", "P", "P", "P", "P", "Ca", "Ca", "Ca", "Ca", "Ca", "Ca", "Ca", "Ca", "Ca", "Ca", "Ca", "Ca"],
  "fractional_positions": [[0.750, 0.123, 0.623], [0.250, 0.377, 0.877], [0.750, 0.623, 0.123], [0.250, 0.877, 0.377], [0.857, 0.481, 0.695], [0.143, 0.519, 0.305], [0.357, 0.805, 0.019], [0.643, 0.195, 0.981], [0.000, 0.619, 0.881], [0.432, 0.145, 0.755], [0.932, 0.745, 0.355], [0.068, 0.009, 0.891], [0.500, 0.619, 0.881], [0.932, 0.991, 0.109], [0.432, 0.391, 0.509], [0.568, 0.855, 0.245], [0.068, 0.255, 0.645], [0.568, 0.609, 0.491], [0.500, 0.381, 0.119], [0.000, 0.381, 0.119]],
  "crystal_system": "orthorhombic",
  "magmom_total_mub_per_cell": 0.0,
  "raw_formation_energy_ev_per_atom": -1.0135,
  "sg": "Cmce, No. 64",
  "polymorph_energy_ev_per_atom": 0.0807
}

***

[7]
{
  "formula": "BeFeTc2",
  "functional": "PBE",
  "state": "optimized geometry",
  "cell": [[-2.029, 3.070, -0.121], [-1.264, -0.919, -2.117], [-4.688, -3.066, 0.853]],
  "species": ["Be", "Fe", "Tc", "Tc"],
  "fractional_positions": [[0.500, 0.250, 0.250], [0.500, 0.750, 0.750], [0.000, 0.505, 0.491], [0.000, 0.995, 0.009]],
  "crystal_system": "monoclinic",
  "magmom_total_mub_per_cell": 0.0,
  "sg": "P2/m, No. 10",
  "delta_e_f_ev_per_atom": 0.044
}

***

[8]
{
  "formula": "LiY2Te",
  "functional": "PBE",
  "state": "optimized geometry",
  "cell": [[8.230, 0.000, 0.000], [0.000, 8.230, 0.000], [4.115, 4.115, 3.363]],
  "species": ["Y", "Y", "Y", "Y", "Li", "Li", "Te", "Te"],
  "fractional_positions": [[0.375, 0.374, 0.750], [0.626, 0.125, 0.250], [0.875, 0.876, 0.750], [0.124, 0.625, 0.250], [0.250, 0.750, 0.500], [0.500, 0.500, 0.000], [0.750, 0.250, 0.500], [0.000, 0.000, 0.000]],
  "crystal_system": "tetragonal",
  "magmom_total_mub_per_cell": 0.0,
  "raw_formation_energy_ev_per_atom": -0.2788,
  "sg": "I-42d, No. 122",
  "polymorph_energy_ev_per_atom": 0.4055
}

***

| no. | ρ (Mg/m³) |
| --- | --- |
| 1 | 7.2 |
| 2 | 4.5 |
| 3 | 8.6 |
| 4 | 4.6 |
| 5 | 8.7 |
| 6 | 2.7 |
| 7 | 8.9 |
| 8 | 4.6 |